This record from Alexandria via LeMat-Bulk describes crystalline NaLiIn2 at its relaxed geometry. The functional is GGA-PBE.

The structure in POSCAR format:
```
NaLiIn2
1.0
-2.2244 2.2244 10.7331
2.2244 -2.2244 10.7331
2.2244 2.2244 -10.7331
Na Li In
2 2 4
Direct
0.0000 0.0000 0.0000
0.7500 0.2500 0.5000
0.2500 0.7500 0.5000
0.5000 0.5000 0.0000
0.1421 0.6250 0.0171
0.3750 0.3921 0.5171
0.6079 0.1250 0.9829
0.8750 0.8579 0.4829
```

Output
**Formation enthalpy at 0 K**: 9 meV/atom
**Offset from the most stable computed form**: 0.141 eV per atom